Model one:
The following is a GGA-PBEsol calculation of a relaxed structure of CsBaS2Cl, from Alexandria.

Geometry as CIF:
```
data_CsBaS2Cl
_space_group_name_H-M_alt 'P 4/m m m'
_space_group_IT_number 123
_space_group_name_Hall '-P 4 2'
_cell_length_a 5.429
_cell_length_b 5.429
_cell_length_c 5.906
_cell_angle_alpha 90.00
_cell_angle_beta 90.00
_cell_angle_gamma 90.00
loop_
_atom_site_label
_atom_site_type_symbol
_atom_site_fract_x
_atom_site_fract_y
_atom_site_fract_z
Cs1 Cs 0.000 0.000 0.000
Ba1 Ba 0.500 0.500 0.500
S1 S 0.000 0.500 0.000
Cl1 Cl 0.000 0.000 0.500
```

Results
V	174.1	Å³ per cell



Model two:
The following is a GGA-PBEsol calculation of a relaxed structure of CsBaS2Cl, from Alexandria.

Geometry as CIF:
```
data_CsBaS2Cl
_space_group_name_H-M_alt 'P 4/m m m'
_space_group_IT_number 123
_space_group_name_Hall '-P 4 2'
_cell_length_a 5.888
_cell_length_b 5.888
_cell_length_c 5.960
_cell_angle_alpha 90.00
_cell_angle_beta 90.00
_cell_angle_gamma 90.00
loop_
_atom_site_label
_atom_site_type_symbol
_atom_site_fract_x
_atom_site_fract_y
_atom_site_fract_z
Cs1 Cs 0.000 0.000 0.000
Ba1 Ba 0.500 0.500 0.500
S1 S 0.000 0.500 0.500
Cl1 Cl 0.500 0.500 0.000
```

Results
V	206.6	Å³ per cell



So which one wins? Going from most stable to least: model two, model one.



Model one:
The following is a GGA-PBEsol calculation of a relaxed structure of BaHS2Cl, from Alexandria.

Geometry as CIF:
```
data_BaHS2Cl
_space_group_name_H-M_alt 'P 4/m m m'
_space_group_IT_number 123
_space_group_name_Hall '-P 4 2'
_cell_length_a 6.330
_cell_length_b 6.330
_cell_length_c 5.906
_cell_angle_alpha 90.00
_cell_angle_beta 90.00
_cell_angle_gamma 90.00
loop_
_atom_site_label
_atom_site_type_symbol
_atom_site_fract_x
_atom_site_fract_y
_atom_site_fract_z
Ba1 Ba 0.000 0.000 0.000
H1 H 0.500 0.500 0.500
S1 S 0.000 0.500 0.000
Cl1 Cl 0.000 0.000 0.500
```

Results
V	236.6	Å³ per cell



Model two:
The following is a GGA-PBEsol calculation of a relaxed structure of BaHS2Cl, from Alexandria.

Geometry as CIF:
```
data_BaHS2Cl
_space_group_name_H-M_alt 'P 4/m m m'
_space_group_IT_number 123
_space_group_name_Hall '-P 4 2'
_cell_length_a 4.113
_cell_length_b 4.113
_cell_length_c 5.673
_cell_angle_alpha 90.00
_cell_angle_beta 90.00
_cell_angle_gamma 90.00
loop_
_atom_site_label
_atom_site_type_symbol
_atom_site_fract_x
_atom_site_fract_y
_atom_site_fract_z
Ba1 Ba 0.000 0.000 0.000
H1 H 0.500 0.500 0.500
S1 S 0.000 0.500 0.500
Cl1 Cl 0.500 0.500 0.000
```

Results
V	96.0	Å³ per cell



So which one wins? Going from most stable to least: model two, model one.



Model one:
The following is a GGA-PBEsol calculation of a relaxed structure of BaHg2Cl, from Alexandria.

Geometry as CIF:
```
data_BaHg2Cl
_space_group_name_H-M_alt 'C m m m'
_space_group_IT_number 65
_space_group_name_Hall '-C 2 2'
_cell_length_a 6.080
_cell_length_b 6.190
_cell_length_c 6.310
_cell_angle_alpha 90.00
_cell_angle_beta 90.00
_cell_angle_gamma 90.00
loop_
_atom_site_label
_atom_site_type_symbol
_atom_site_fract_x
_atom_site_fract_y
_atom_site_fract_z
Ba1 Ba 0.000 0.000 0.000
Hg1 Hg 0.000 0.257 0.500
Cl1 Cl 0.000 0.500 0.000
```

Results
V	237.5	Å³ per cell



Model two:
The following is a GGA-PBEsol calculation of a relaxed structure of BaHg2Cl, from Alexandria.

Geometry as CIF:
```
data_BaHg2Cl
_space_group_name_H-M_alt 'P 4 m m'
_space_group_IT_number 99
_cell_length_a 4.147
_cell_length_b 4.147
_cell_length_c 6.907
_cell_angle_alpha 90.00
_cell_angle_beta 90.00
_cell_angle_gamma 90.00
loop_
_space_group_symop_operation_xyz
'x,y,z'
'-y,x,z'
'-x,-y,z'
'y,-x,z'
'-x,y,z'
'y,x,z'
'x,-y,z'
'-y,-x,z'
loop_
_atom_site_label
_atom_site_type_symbol
_atom_site_fract_x
_atom_site_fract_y
_atom_site_fract_z
Ba1 Ba 0.000 0.000 0.000
Hg1 Hg 0.000 0.000 0.508
Hg2 Hg 0.500 0.500 0.643
Cl1 Cl 0.500 0.500 0.136
```

Results
V	118.8	Å³ per cell



So which one wins? Going from most stable to least: model one, model two.



Model one:
The following is a GGA-PBEsol calculation of a relaxed structure of Ba2InCl, from Alexandria.

Geometry as CIF:
```
data_Ba2InCl
_space_group_name_H-M_alt 'P 1 2/m 1'
_space_group_IT_number 10
_cell_length_a 4.198
_cell_length_b 4.069
_cell_length_c 9.037
_cell_angle_alpha 90.00
_cell_angle_beta 90.09
_cell_angle_gamma 90.00
loop_
_space_group_symop_operation_xyz
'x,y,z'
'-x,-y,-z'
'-x,y,-z'
'x,-y,z'
loop_
_atom_site_label
_atom_site_type_symbol
_atom_site_fract_x
_atom_site_fract_y
_atom_site_fract_z
Ba1 Ba 0.001 0.000 0.232
In1 In 0.500 0.500 0.000
Cl1 Cl 0.000 0.500 0.500
```

Results
V	154.4	Å³ per cell



Model two:
The following is a GGA-PBEsol calculation of a relaxed structure of Ba2InCl, from Alexandria.

Geometry as CIF:
```
data_Ba2InCl
_space_group_name_H-M_alt 'I -4 m 2'
_space_group_IT_number 119
_space_group_name_Hall 'I -4 -2'
_cell_length_a 4.659
_cell_length_b 4.659
_cell_length_c 13.870
_cell_angle_alpha 90.00
_cell_angle_beta 90.00
_cell_angle_gamma 90.00
loop_
_atom_site_label
_atom_site_type_symbol
_atom_site_fract_x
_atom_site_fract_y
_atom_site_fract_z
Ba1 Ba 0.000 0.000 0.000
Ba2 Ba 0.000 0.500 0.250
In1 In 0.000 0.500 0.750
Cl1 Cl 0.000 0.000 0.500
```

Results
V	301.1	Å³ per cell



Model three:
The following is a GGA-PBEsol calculation of a relaxed structure of Ba2InCl, from Alexandria.

Geometry as CIF:
```
data_Ba2InCl
_space_group_name_H-M_alt 'P 4 m m'
_space_group_IT_number 99
_cell_length_a 6.154
_cell_length_b 6.154
_cell_length_c 3.993
_cell_angle_alpha 90.00
_cell_angle_beta 90.00
_cell_angle_gamma 90.00
loop_
_space_group_symop_operation_xyz
'x,y,z'
'-y,x,z'
'-x,-y,z'
'y,-x,z'
'-x,y,z'
'y,x,z'
'x,-y,z'
'-y,-x,z'
loop_
_atom_site_label
_atom_site_type_symbol
_atom_site_fract_x
_atom_site_fract_y
_atom_site_fract_z
Ba1 Ba 0.000 0.500 0.000
In1 In 0.000 0.000 0.500
Cl1 Cl 0.500 0.500 0.997
```

Results
V	151.2	Å³ per cell



So which one wins? Going from most stable to least: model one, model three, model two.



Model one:
The following is a GGA-PBEsol calculation of a relaxed structure of BaInCl2, from Alexandria.

Geometry as CIF:
```
data_BaInCl2
_space_group_name_H-M_alt 'P 4/m m m'
_space_group_IT_number 123
_space_group_name_Hall '-P 4 2'
_cell_length_a 3.695
_cell_length_b 3.695
_cell_length_c 9.421
_cell_angle_alpha 90.00
_cell_angle_beta 90.00
_cell_angle_gamma 90.00
loop_
_atom_site_label
_atom_site_type_symbol
_atom_site_fract_x
_atom_site_fract_y
_atom_site_fract_z
Ba1 Ba 0.000 0.000 0.000
In1 In 0.000 0.000 0.500
Cl1 Cl 0.500 0.500 0.181
```

Results
V	128.7	Å³ per cell



Model two:
The following is a GGA-PBEsol calculation of a relaxed structure of BaInCl2, from Alexandria.

Geometry as CIF:
```
data_BaInCl2
_space_group_name_H-M_alt 'C 1 2/m 1'
_space_group_IT_number 12
_cell_length_a 7.364
_cell_length_b 9.138
_cell_length_c 4.255
_cell_angle_alpha 90.00
_cell_angle_beta 118.36
_cell_angle_gamma 90.00
loop_
_space_group_symop_operation_xyz
'x,y,z'
'-x,-y,-z'
'-x,y,-z'
'x,-y,z'
'x+1/2,y+1/2,z'
'-x+1/2,-y+1/2,-z'
'-x+1/2,y+1/2,-z'
'x+1/2,-y+1/2,z'
loop_
_atom_site_label
_atom_site_type_symbol
_atom_site_fract_x
_atom_site_fract_y
_atom_site_fract_z
Ba1 Ba 0.000 0.000 0.000
In1 In 0.000 0.500 0.000
Cl1 Cl 0.250 0.250 0.500
```

Results
V	252.0	Å³ per cell



So which one wins? Going from most stable to least: model one, model two.



Model one:
The following is a GGA-PBEsol calculation of a relaxed structure of Ba2LaCl, from Alexandria.

Geometry as CIF:
```
data_Ba2LaCl
_space_group_name_H-M_alt 'C m m 2'
_space_group_IT_number 35
_cell_length_a 4.162
_cell_length_b 6.739
_cell_length_c 11.366
_cell_angle_alpha 90.00
_cell_angle_beta 90.00
_cell_angle_gamma 90.00
loop_
_space_group_symop_operation_xyz
'x,y,z'
'-x,-y,z'
'-x,y,z'
'x,-y,z'
'x+1/2,y+1/2,z'
'-x+1/2,-y+1/2,z'
'-x+1/2,y+1/2,z'
'x+1/2,-y+1/2,z'
loop_
_atom_site_label
_atom_site_type_symbol
_atom_site_fract_x
_atom_site_fract_y
_atom_site_fract_z
Ba1 Ba 0.000 0.000 0.000
Ba2 Ba 0.000 0.500 0.322
La1 La 0.000 0.500 0.725
Cl1 Cl 0.000 0.000 0.536
```

Results
V	318.8	Å³ per cell



Model two:
The following is a GGA-PBEsol calculation of a relaxed structure of Ba2LaCl, from Alexandria.

Geometry as CIF:
```
data_Ba2LaCl
_space_group_name_H-M_alt 'I m m m'
_space_group_IT_number 71
_space_group_name_Hall '-I 2 2'
_cell_length_a 3.916
_cell_length_b 7.052
_cell_length_c 12.279
_cell_angle_alpha 90.00
_cell_angle_beta 90.00
_cell_angle_gamma 90.00
loop_
_atom_site_label
_atom_site_type_symbol
_atom_site_fract_x
_atom_site_fract_y
_atom_site_fract_z
Ba1 Ba 0.000 0.000 0.199
La1 La 0.000 0.500 0.000
Cl1 Cl 0.000 0.500 0.500
```

Results
V	339.1	Å³ per cell



So which one wins? Going from most stable to least: model one, model two.



Model one:
The following is a GGA-PBEsol calculation of a relaxed structure of BaLa2Cl8, from Alexandria.

Geometry as CIF:
```
data_BaLa2Cl8
_space_group_name_H-M_alt 'C 1 2/m 1'
_space_group_IT_number 12
_cell_length_a 8.631
_cell_length_b 12.689
_cell_length_c 5.398
_cell_angle_alpha 90.00
_cell_angle_beta 103.44
_cell_angle_gamma 90.00
loop_
_space_group_symop_operation_xyz
'x,y,z'
'-x,-y,-z'
'-x,y,-z'
'x,-y,z'
'x+1/2,y+1/2,z'
'-x+1/2,-y+1/2,-z'
'-x+1/2,y+1/2,-z'
'x+1/2,-y+1/2,z'
loop_
_atom_site_label
_atom_site_type_symbol
_atom_site_fract_x
_atom_site_fract_y
_atom_site_fract_z
Ba1 Ba 0.000 0.000 0.000
La1 La 0.000 0.319 0.500
Cl1 Cl 0.000 0.246 0.000
Cl2 Cl 0.119 0.500 0.806
Cl3 Cl 0.191 0.130 0.578
```

Results
V	575.0	Å³ per cell



Model two:
The following is a GGA-PBEsol calculation of a relaxed structure of BaLa2Cl8, from Alexandria.

Geometry as CIF:
```
data_BaLa2Cl8
_space_group_name_H-M_alt 'I -4'
_space_group_IT_number 82
_cell_length_a 12.611
_cell_length_b 12.611
_cell_length_c 8.050
_cell_angle_alpha 90.00
_cell_angle_beta 90.00
_cell_angle_gamma 90.00
loop_
_space_group_symop_operation_xyz
'x,y,z'
'y,-x,-z'
'-x,-y,z'
'-y,x,-z'
'x+1/2,y+1/2,z+1/2'
'y+1/2,-x+1/2,-z+1/2'
'-x+1/2,-y+1/2,z+1/2'
'-y+1/2,x+1/2,-z+1/2'
loop_
_atom_site_label
_atom_site_type_symbol
_atom_site_fract_x
_atom_site_fract_y
_atom_site_fract_z
Ba1 Ba 0.000 0.000 0.000
Ba2 Ba 0.000 0.500 0.250
La1 La 0.137 0.718 0.690
Cl1 Cl 0.031 0.245 0.920
Cl2 Cl 0.053 0.366 0.555
Cl3 Cl 0.073 0.121 0.314
Cl4 Cl 0.165 0.731 0.339
```

Results
V	1280.2	Å³ per cell



So which one wins? Going from most stable to least: model one, model two.